[1]
Density functional theory data (PBE-GGA) for a relaxed structure of Al3Re.

## Properties
**Electronic total energy**: -6.07 eV per atom

abc: 4.7967 4.7967 4.7967
angles: 132.31 132.31 69.74
Sites, in units of the cell vectors:
Al  0.0000  0.0000  0.0000
Re  0.5000  0.5000  0.0000
Al  0.2500  0.7500  0.5000
Al  0.7500  0.2500  0.5000

=====

[2]
Density functional theory data (PBE-GGA) for a relaxed structure of HfCoGe.

## Properties
**Electronic total energy**: -7.63 eV per atom

abc: 4.5054 4.0238 10.3210
angles: 90.00 90.00 90.00
Sites, in units of the cell vectors:
Hf  0.2953  0.2500  0.1471
Ge  0.7712  0.7500  0.1408
Co  0.8072  0.2500  0.0254
Hf  0.7047  0.7500  0.8529
Co  0.3072  0.2500  0.4746
Hf  0.2047  0.7500  0.6471
Co  0.1928  0.7500  0.9746
Ge  0.7288  0.2500  0.6408
Ge  0.2712  0.7500  0.3592
Ge  0.2288  0.2500  0.8592
Hf  0.7953  0.2500  0.3529
Co  0.6928  0.7500  0.5254

=====

[3]
Density functional theory data (PBE-GGA) for a relaxed structure of NdPdPb.

## Properties
**Electronic total energy**: -5.21 eV per atom

abc: 4.8565 4.8565 7.2041
angles: 90.00 90.00 120.00
Sites, in units of the cell vectors:
Pb  0.3333  0.6667  0.7500
Nd  0.0000  0.0000  0.0000
Pd  0.6667  0.3333  0.7500
Pd  0.3333  0.6667  0.2500
Nd  0.0000  0.0000  0.5000
Pb  0.6667  0.3333  0.2500

=====

[4]
Density functional theory data (PBE-GGA) for a relaxed structure of HgGeSO.

## Properties
**ΔE to the lowest computed polymorph**: 0.0 kJ per mole of atoms
**Electronic total energy**: -4.19 eV per atom

abc: 4.8796 8.5342 8.2628
angles: 90.00 90.00 90.00
Sites, in units of the cell vectors:
Ge  0.2476  0.1747  0.0989
Ge  0.7476  0.3253  0.9011
O  0.9558  0.1581  0.9643
Ge  0.7524  0.6747  0.4011
O  0.4558  0.3419  0.0357
S  0.5659  0.2321  0.6712
Ge  0.2524  0.8253  0.5989
Hg  0.4595  0.4361  0.3988
O  0.0442  0.6581  0.5357
S  0.0659  0.2679  0.3288
S  0.9341  0.7679  0.1712
Hg  0.5405  0.9361  0.1012
Hg  0.9595  0.0639  0.6012
Hg  0.0405  0.5639  0.8988
S  0.4341  0.7321  0.8288
O  0.5442  0.8419  0.4643